{"formula": "YTcI2O", "functional": "GGA-PBE", "state": "optimized geometry", "lattice_angstrom": [[6.174, 0.000, 0.000], [0.000, 6.174, 0.000], [0.000, 0.000, 4.152]], "species": ["I", "I", "Y", "Tc", "O"], "frac_coords": [[0.000, 0.500, 0.000], [0.500, 0.000, 0.000], [0.000, 0.000, 0.000], [0.500, 0.500, 0.500], [0.000, 0.000, 0.500]], "rho_g_cm3": 4.8, "raw_formation_energy_mev_per_atom": -388, "e_tot_ev_per_cell": -26.83, "vol_a3_per_cell": 158.26}